Computed, not measured: an optimized crystal structure of CdF at the PBE level of DFT.

E_tot in Ry/atom: -0.1987
ΔE_f (raw) in meV per atom: -1310

Cell lengths 4.410, 4.428, 7.496 Å; angles 90.00, 90.00, 90.00 degrees
Space group Fmm2 (No. 42)
Unique sites:
1 Cd 0.000 0.000 0.000
2 F 0.000 0.000 0.339